# KHfMg2S

Crystalline KHfMg2S at its relaxed geometry (PBE, Alexandria).

formation energy (no corrections) = 0.06 eV per atom
SG = P4/mmm

Cell: 5.929 5.929 4.892 Å, 90.00 90.00 90.00°
Positions (direct):
Hf 0.000 0.000 0.000
Mg 0.500 0.000 0.000
Mg 0.000 0.500 0.000
K 0.500 0.500 0.500
S 0.000 0.000 0.500